KSmTe2Au | PBE | relaxed

Cell and atoms, written as POSCAR:
```
KSmTe2Au
1.0
-2.8887 -3.8489 1.0178
2.5973 -3.8408 -7.1521
5.9808 -3.1098 5.2145
Sm Te Au K
2 4 2 2
Direct
0.5053 0.0000 0.7500
0.4947 0.0000 0.2500
0.6671 0.2547 0.5317
0.3329 0.7453 0.4683
0.6671 0.7453 0.9683
0.3329 0.2547 0.0317
0.0000 0.0000 0.0000
0.0000 0.0000 0.5000
0.1498 0.5000 0.7500
0.8502 0.5000 0.2500
```

Results
- uncorrected formation energy (meV/atom) = -892
- space-group type = P2/c

=====

NbSb2RuI | PBE | relaxed

Cell and atoms, written as POSCAR:
```
NbSb2RuI
1.0
-3.5413 3.4474 0.9018
0.0995 -1.1752 4.8834
3.9439 3.8312 0.8416
Nb Sb Ru I
1 2 1 1
Direct
0.5000 0.5000 0.5000
0.5000 0.0000 0.0000
0.0000 0.5000 0.0000
0.0000 0.0000 0.0000
0.0000 0.0000 0.5000
```

Results
- uncorrected formation energy (meV/atom) = 963
- space-group type = P4/mmm
- excess energy over the best structure of this formula in the dataset (meV per atom) = 0

=====

YW2Se | PBE | relaxed

Cell and atoms, written as POSCAR:
```
YW2Se
1.0
-1.3888 -0.9955 -3.0968
2.4337 -2.5522 -0.2710
-3.7834 -3.9218 2.9574
W Se Y
2 1 1
Direct
0.0000 0.0000 0.9523
0.0000 0.0000 0.5477
0.5000 0.5000 0.7500
0.5000 0.5000 0.2500
```

Results
- uncorrected formation energy (meV/atom) = 658
- space-group type = P4/mmm

=====

Pm5Ho2Tm | PBE | relaxed

Cell and atoms, written as POSCAR:
```
Pm5Ho2Tm
1.0
5.0843 0.0000 0.0000
0.0000 7.1956 0.0000
0.0000 0.0000 14.3981
Pm Ho Tm
10 4 2
Direct
0.0000 0.0012 0.7486
0.0000 0.9988 0.2514
0.5000 0.7517 0.6240
0.5000 0.2483 0.3760
0.0000 0.0000 0.0000
0.5000 0.2517 0.8760
0.0000 0.5012 0.7514
0.5000 0.7483 0.1240
0.0000 0.4988 0.2486
0.0000 0.5000 0.5000
0.5000 0.7496 0.3760
0.5000 0.2496 0.1240
0.5000 0.2504 0.6240
0.5000 0.7504 0.8760
0.0000 0.5000 0.0000
0.0000 0.0000 0.5000
```

Results
- E_form (eV/atom) = 0.02
- space-group type = Pbam

=====

CoGeH2Rh | PBE | relaxed

Cell and atoms, written as POSCAR:
```
CoGeH2Rh
1.0
3.4343 0.0000 0.0000
0.0000 5.0267 0.0000
0.0000 0.0000 3.4343
Rh Ge H Co
1 1 2 1
Direct
0.5000 0.5000 0.5000
0.0000 0.0000 0.0000
0.0000 0.0000 0.5000
0.5000 0.0000 0.0000
0.0000 0.5000 0.0000
```

Results
- space-group type = P4/mmm
- total DFT energy (no corrections) (eV per cell) = -22.3

=====

Y3HoOs | PBE | relaxed

Cell and atoms, written as POSCAR:
```
Y3HoOs
1.0
-1.6636 2.0116 3.0294
-6.2485 -0.8336 -0.2385
-0.7975 -8.7595 8.0180
Ho Y Os
2 6 2
Direct
0.2312 0.5316 0.0060
0.1152 0.4826 0.2871
0.7597 0.7183 0.7623
0.0972 0.1857 0.6200
0.4529 0.9477 0.1466
0.9835 0.1300 0.9031
0.7871 0.0431 0.3827
0.4246 0.6271 0.5237
0.4260 0.3846 0.7634
0.7835 0.2863 0.1468
```

Results
- E_form (eV/atom) = -0.16
- space-group type = Cm

=====

Density of states at the Fermi level per entry: 4.99 4.46 2.56 22.55 2.51 10.57 states/eV per cell
Size of the total moment per entry: 0.0 3.5 0.0 0.0 2.3 0.0 μB per formula unit